Record 1
10
Lattice="3.0777 -5.4428 0.0000 3.0777 5.4428 0.0000 0.0000 0.0000 6.1246" Properties=species:S:1:pos:R:3 comment="LiTbAg3 | Alexandria | PBE | relaxed" relative_energy_ev_per_atom=0.0992 mass_density_kg_m3=7922 n_ef_per_ev_atom=0.483 delta_e_f_ev_per_atom=-0.1165 pbc="T T T"
Li 3.0777 4.2951 4.5934
Li 3.0777 -4.2951 1.5311
Tb 3.0777 2.8968 1.5311
Tb 3.0777 -2.8968 4.5934
Ag 1.6288 0.0000 0.0000
Ag 1.6288 0.0000 3.0623
Ag 3.0777 1.8529 4.5934
Ag 3.0777 -1.8529 1.5311
Ag 4.5267 0.0000 0.0000
Ag 4.5267 0.0000 3.0623

---

Record 2
5
Lattice="3.9408 0.0000 0.0000 0.0000 3.9408 0.0000 0.0000 0.0000 6.5970" Properties=species:S:1:pos:R:3 comment="Li2TbAg2 | Alexandria | PBE | relaxed" mass_density_kg_m3=6298 n_ef_per_ev_atom=0.589 delta_e_f_ev_per_atom=-0.1952 pbc="T T T"
Li 0.0000 1.9704 0.0000
Li 1.9704 0.0000 0.0000
Tb 0.0000 0.0000 3.2985
Ag 1.9704 1.9704 1.8728
Ag 1.9704 1.9704 4.7242

---

Record 3
8
Lattice="-1.6643 4.4485 5.3961 1.6643 -4.4485 5.3961 1.6643 4.4485 -5.3961" Properties=species:S:1:pos:R:3 comment="Li5TbAg2 | Alexandria | PBE | relaxed" mass_density_kg_m3=4254 n_ef_per_ev_atom=0.536 delta_e_f_ev_per_atom=-0.0913 pbc="T T T"
Li 0.0000 0.0000 0.0000
Li 1.6643 1.8452 -1.5500
Li 1.6643 1.8452 1.5500
Li 0.0000 2.6033 3.8461
Li 0.0000 2.6033 6.9460
Tb 0.0000 4.4485 0.0000
Ag 0.0000 0.0000 2.8041
Ag 0.0000 0.0000 7.9881

---

Record 4
10
Lattice="-3.0928 6.7725 2.9813 3.0928 -6.7725 2.9813 3.0928 6.7725 -2.9813" Properties=species:S:1:pos:R:3 comment="LiTb2Ag2 | Alexandria | PBE | relaxed" mass_density_kg_m3=7187 n_ef_per_ev_atom=0.829 delta_e_f_ev_per_atom=-0.0630 pbc="T T T"
Li 0.0000 0.0000 1.4907
Li 0.0000 0.0000 4.4720
Tb 4.2017 2.1083 0.0000
Tb 1.1089 4.6642 0.0000
Tb 1.9839 2.1083 2.9813
Tb -1.1089 4.6642 2.9813
Ag 1.1749 1.7458 0.0000
Ag 1.1749 -1.7458 2.9813
Ag 1.9178 8.5183 0.0000
Ag 1.9178 5.0267 2.9813

---

Record 5
4
Lattice="0.0000 3.7049 3.7049 3.7049 0.0000 3.7049 3.7049 3.7049 0.0000" Properties=species:S:1:pos:R:3 comment="LiTbThAg | Alexandria | PBE | relaxed" mass_density_kg_m3=8257 n_ef_per_ev_atom=1.295 delta_e_f_ev_per_atom=0.0658 pbc="T T T"
Li 0.0000 0.0000 0.0000
Tb 5.5574 5.5574 5.5574
Th 1.8525 1.8525 1.8525
Ag 3.7049 3.7049 3.7049

---

Record 6
7
Lattice="2.4325 1.4044 7.2683 -2.4325 1.4044 7.2683 0.0000 -2.8089 7.2683" Properties=species:S:1:pos:R:3 comment="Li2TbTl2Ag2 | Alexandria | PBE | relaxed" mass_density_kg_m3=8887 n_ef_per_ev_atom=0.468 delta_e_f_ev_per_atom=-0.1772 pbc="T T T"
Li 0.0000 0.0000 3.1460
Li 0.0000 0.0000 18.6587
Tb 0.0000 0.0000 0.0000
Tl 0.0000 0.0000 5.8821
Tl 0.0000 0.0000 15.9226
Ag 0.0000 0.0000 9.4198
Ag 0.0000 0.0000 12.3850